Here is crystalline PrNdBe2Si2 at its relaxed geometry from OQMD. Energies are from PBE.

a b c (Å): 3.962 3.962 8.528
angles (deg): 90.00 90.00 120.00
Atoms (fractional coordinates):
Pr: 0.000 0.000 0.000
Nd: 0.000 0.000 0.500
Be: 0.333 0.667 0.251
Be: 0.667 0.333 0.749
Si: 0.333 0.667 0.748
Si: 0.667 0.333 0.252

Total moment (μB/cell): 0.0
Crystal system: trigonal
Electronic total energy (eV/atom): -5.23
Theoretical density (g cm⁻³): 5.15
SG: P-3m1, No. 164